Li2Mn after structural relaxation. Source: Alexandria via LeMat-Bulk, functional PBE.

a = 4.5996 Å, b = 4.5996 Å, c = 4.5996 Å
α = 60.00°, β = 60.00°, γ = 60.00°
Positions (direct):
Li  0.6250  0.1250  0.1250
Li  0.1250  0.6250  0.1250
Li  0.1250  0.1250  0.6250
Li  0.1250  0.1250  0.1250
Mn  0.5000  0.5000  0.5000
Mn  0.7500  0.7500  0.7500

Properties
M_tot: 0.00 μB/f.u.
Energy relative to the elements: 0.72 eV per atom
Space-group type: Fd-3m, No. 227
V: 11.468 A^3/atom
E_tot: -21.7 eV/cell